(1)
A plane-wave DFT calculation with meta-GGA SCAN was carried out for LaAgRu at its PBEsol-relaxed geometry.

Values from the calculation:
Raw total energy, eV per atom: -36.27
Density, Mg/m³: 9.64
V, Å³/f.u.: 60

Geometry as CIF:
```
data_LaAgRu
_symmetry_space_group_name_H-M 'P -6 m 2'
_symmetry_Int_Tables_number 187
_symmetry_space_group_name_Hall 'P -6 2'
_cell_length_a 4.5467
_cell_length_b 4.5467
_cell_length_c 3.3465
_cell_angle_alpha 90.00
_cell_angle_beta 90.00
_cell_angle_gamma 120.00
loop_
_atom_site_label
_atom_site_type_symbol
_atom_site_fract_x
_atom_site_fract_y
_atom_site_fract_z
La1 La 0.0000 0.0000 0.0000
Ag1 Ag 0.6667 0.3333 0.5000
Ru1 Ru 0.3333 0.6667 0.0000
```

=====

(2)
A plane-wave DFT calculation with meta-GGA SCAN was carried out for LaAgRu at its PBEsol-relaxed geometry.

Values from the calculation:
Raw total energy, eV per atom: -36.24
Density, Mg/m³: 8.58
V, Å³/f.u.: 67

Geometry as CIF:
```
data_LaAgRu
_symmetry_space_group_name_H-M 'F -4 3 m'
_symmetry_Int_Tables_number 216
_symmetry_space_group_name_Hall 'F -4 2 3'
_cell_length_a 6.4585
_cell_length_b 6.4585
_cell_length_c 6.4585
_cell_angle_alpha 90.00
_cell_angle_beta 90.00
_cell_angle_gamma 90.00
loop_
_atom_site_label
_atom_site_type_symbol
_atom_site_fract_x
_atom_site_fract_y
_atom_site_fract_z
La1 La 0.0000 0.0000 0.0000
Ag1 Ag 0.0000 0.0000 0.5000
Ru1 Ru 0.2500 0.2500 0.7500
```

=====

(3)
A plane-wave DFT calculation with meta-GGA SCAN was carried out for La2AgRu at its PBEsol-relaxed geometry.

Values from the calculation:
Raw total energy, eV per atom: -38.34
Density, Mg/m³: 8.59
V, Å³/f.u.: 94

Geometry as CIF:
```
data_La2AgRu
_symmetry_space_group_name_H-M 'F m -3 m'
_symmetry_Int_Tables_number 225
_symmetry_space_group_name_Hall '-F 4 2 3'
_cell_length_a 7.2189
_cell_length_b 7.2189
_cell_length_c 7.2189
_cell_angle_alpha 90.00
_cell_angle_beta 90.00
_cell_angle_gamma 90.00
loop_
_atom_site_label
_atom_site_type_symbol
_atom_site_fract_x
_atom_site_fract_y
_atom_site_fract_z
La1 La 0.2500 0.2500 0.2500
Ag1 Ag 0.0000 0.0000 0.0000
Ru1 Ru 0.0000 0.0000 0.5000
```

=====

(4)
A plane-wave DFT calculation with meta-GGA SCAN was carried out for La2AgRu at its PBEsol-relaxed geometry.

Values from the calculation:
Raw total energy, eV per atom: -38.31
Density, Mg/m³: 8.59
V, Å³/f.u.: 94

Geometry as CIF:
```
data_La2AgRu
_symmetry_space_group_name_H-M 'P 4/m m m'
_symmetry_Int_Tables_number 123
_symmetry_space_group_name_Hall '-P 4 2'
_cell_length_a 5.1055
_cell_length_b 5.1055
_cell_length_c 3.6087
_cell_angle_alpha 90.00
_cell_angle_beta 90.00
_cell_angle_gamma 90.00
loop_
_atom_site_label
_atom_site_type_symbol
_atom_site_fract_x
_atom_site_fract_y
_atom_site_fract_z
La1 La 0.0000 0.5000 0.0000
Ag1 Ag 0.0000 0.0000 0.5000
Ru1 Ru 0.5000 0.5000 0.5000
```